Entry 1:
Material: Zn9Co2Ag
Method: DFT, PBE-GGA
State: optimized geometry

The calculation puts the magnetic moment at 0.38 μB per formula unit. Its crystal system is tetragonal. The formation energy comes out at -0.03 eV/atom. The calculation puts the volume at 165.7 Å³/cell. As for the total energy: -2.407 eV per atom.

It has space group P4/mmm (No. 123), with a = 3.802 Å, b = 3.802 Å, c = 11.463 Å, α = 90.00°, β = 90.00° and γ = 90.00°. Symmetry generates all atoms from Zn at (0.000, 0.000, 0.000), Zn at (0.000, 0.000, 0.340), Zn at (0.000, 0.500, 0.184), Zn at (0.000, 0.500, 0.500), Co at (0.500, 0.500, 0.345) and Ag at (0.500, 0.500, 0.000).

=====

Entry 2:
Material: PrGeRhO
Method: DFT, PBE-GGA
State: optimized geometry

The calculation puts the magnetic moment at 0.00 μB per formula unit. Its crystal system is tetragonal. Its energy relative to the elements, uncorrected is -1840 meV/atom. The calculation puts the volume at 146.8 Å³/cell. As for the total energy: -7.267 eV per atom.

It has space group P4/nmm (No. 129, origin choice 2), with a = 4.137 Å, b = 4.137 Å, c = 8.575 Å, α = 90.00°, β = 90.00° and γ = 90.00°. Symmetry generates all atoms from Pr at (0.250, 0.250, 0.136), Ge at (0.250, 0.250, 0.654), Rh at (0.250, 0.750, 0.500) and O at (0.250, 0.750, 0.000).

=====

Entry 3:
Material: Ti8Sb2As
Method: DFT, PBE-GGA
State: optimized geometry

The calculation puts the magnetic moment at 0.00 μB per formula unit. Its crystal system is monoclinic. Its energy relative to the elements, uncorrected is -408 meV/atom. The calculation puts the volume at 382.2 Å³/cell. As for the total energy: -7.322 eV per atom.

It has space group C2/m (No. 12), with a = 15.650 Å, b = 4.742 Å, c = 5.165 Å, α = 90.00°, β = 94.38° and γ = 90.00°. Symmetry generates all atoms from Ti at (0.043, 0.000, 0.254), Ti at (0.087, 0.500, 0.543), Ti at (0.166, 0.500, 0.099), Ti at (0.234, 0.000, 0.333), Sb at (0.152, 0.000, 0.790) and As at (0.000, 0.500, 0.000).

=====

Entry 4:
Material: Cs2NaGeTe4
Method: DFT, PBE-GGA
State: optimized geometry

The calculation puts the magnetic moment at 0.00 μB per formula unit. Its crystal system is orthorhombic. Its energy relative to the elements, uncorrected is -600 meV/atom. The calculation puts the volume at 2877.1 Å³/cell. As for the total energy: -3.126 eV per atom.

It has space group Fddd (No. 70, origin choice 2), with a = 6.997 Å, b = 16.327 Å, c = 25.183 Å, α = 90.00°, β = 90.00° and γ = 90.00°. Symmetry generates all atoms from Cs at (0.125, 0.125, 0.311), Na at (0.125, 0.125, 0.125), Ge at (0.125, 0.125, 0.625) and Te at (0.072, 0.278, 0.811).

=====

Entry 5:
Material: AlHg3I
Method: DFT, PBE-GGA
State: optimized geometry

The calculation puts the magnetic moment at 0.00 μB per formula unit. Its crystal system is cubic. Its energy relative to the elements, uncorrected is -40 meV/atom. The value obtained for the energy above the most stable polymorph in this dataset is 0.0 kJ per mole of atoms. The calculation puts the volume at 156.8 Å³/cell. As for the total energy: -1.280 eV per atom.

It has space group Pm-3m (No. 221), with a = 5.393 Å, b = 5.393 Å, c = 5.393 Å, α = 90.00°, β = 90.00° and γ = 90.00°. Symmetry generates all atoms from Al at (0.000, 0.000, 0.000), Hg at (0.000, 0.000, 0.500) and I at (0.500, 0.500, 0.500).

=====

Entry 6:
Material: RbBi2TeO8
Method: DFT, PBE-GGA
State: optimized geometry

The calculation puts the magnetic moment at 1.00 μB per formula unit. Its crystal system is triclinic. Its energy relative to the elements, uncorrected is -999 meV/atom. The calculation puts the volume at 208.0 Å³/cell. As for the total energy: -5.293 eV per atom.

It has space group P-1 (No. 2), with a = 4.893 Å, b = 4.897 Å, c = 8.694 Å, α = 92.11°, β = 91.89° and γ = 91.48°. Symmetry generates all atoms from Rb at (0.000, 0.000, 0.000), Bi at (0.446, 0.445, 0.308), Te at (0.000, 0.000, 0.500), O at (0.167, 0.802, 0.667), O at (0.200, 0.833, 0.333), O at (0.296, 0.297, 0.523) and O at (0.400, 0.411, 0.974).

=====

Entry 7:
Material: ErMg2Zn
Method: DFT, PBE-GGA
State: optimized geometry

The calculation puts the magnetic moment at 0.00 μB per formula unit. Its crystal system is trigonal. The formation energy comes out at 0.03 eV/atom. The calculation puts the volume at 283.0 Å³/cell. As for the total energy: -2.222 eV per atom.

It has space group R3m (No. 160, hexagonal axes), with a = 3.3426 Å, b = 3.3426 Å, c = 29.2481 Å, α = 90.00°, β = 90.00° and γ = 120.00°. Symmetry generates all atoms from Er at (0.0000, 0.0000, 0.0000), Mg at (0.0000, 0.0000, 0.5717), Mg at (0.0000, 0.0000, 0.7609) and Zn at (0.0000, 0.0000, 0.1662).

=====

Entry 8:
Material: HoSc2Co3
Method: DFT, PBE-GGA
State: optimized geometry

The calculation puts the magnetic moment at 0.78 μB per formula unit. Its crystal system is tetragonal. The formation energy comes out at -0.28 eV/atom. The calculation puts the volume at 97.3 Å³/cell. As for the total energy: -6.702 eV per atom.

It has space group P4/mmm (No. 123), with a = 3.202 Å, b = 3.202 Å, c = 9.492 Å, α = 90.00°, β = 90.00° and γ = 90.00°. Symmetry generates all atoms from Ho at (0.000, 0.000, 0.000), Sc at (0.000, 0.000, 0.339), Co at (0.500, 0.500, 0.181) and Co at (0.500, 0.500, 0.500).